No. 1
A relaxed InSe crystal, computed with GGA-PBEsol.

Unit cell a=3.9984 b=3.9984 c=16.8652 alpha=90.00 beta=90.00 gamma=120.00
Closest atoms and distances in Å follow each position.
Atoms (fractional coordinates):
In 0.3333 0.6667 0.8322  3 Se 2.64, 1 In 2.77
In 0.6667 0.3333 0.3322  3 Se 2.64, 1 In 2.77
In 0.6667 0.3333 0.1678  3 Se 2.64, 1 In 2.77
In 0.3333 0.6667 0.6678  3 Se 2.64, 1 In 2.77
Se 0.3333 0.6667 0.0916  3 In 2.64
Se 0.6667 0.3333 0.5916  3 In 2.64
Se 0.6667 0.3333 0.9084  3 In 2.64
Se 0.3333 0.6667 0.4084  3 In 2.64

Values from the calculation:
Volume   233.5 Å³ per cell
Fermi-level density of states   0.01 states/eV/f.u.
Electronic total energy   -3.898 eV per atom

No. 2
A relaxed PuSnAu2 crystal, computed with GGA-PBEsol.

Unit cell a=4.9134 b=4.9134 c=4.9134 alpha=60.00 beta=60.00 gamma=60.00
Closest atoms and distances in Å follow each position.
Atoms (fractional coordinates):
Au 0.2500 0.2500 0.2500  4 Sn 3.01, 4 Pu 3.01
Au 0.7500 0.7500 0.7500  4 Sn 3.01, 4 Pu 3.01
Sn 0.0000 0.0000 0.0000  8 Au 3.01
Pu 0.5000 0.5000 0.5000  8 Au 3.01

Values from the calculation:
Formation energy from the elements   -273 meV per atom
Volume   83.9 Å³ per cell
Fermi-level density of states   13.59 states/eV/f.u.
Electronic total energy   -7.089 eV per atom

No. 3
A relaxed SrMgMn2 crystal, computed with GGA-PBEsol.

Unit cell a=5.0129 b=5.0017 c=5.0129 alpha=59.93 beta=90.00 gamma=120.07
Closest atoms and distances in Å follow each position.
Atoms (fractional coordinates):
Mg 0.7500 0.5000 0.7500  4 Sr 3.07, 4 Mn 3.07
Mn 0.0000 0.0000 0.0000  4 Mn 3.07, 4 Mg 3.07
Mn 0.2500 0.5000 0.2500  4 Mn 3.07, 4 Sr 3.07
Sr 0.5000 0.0000 0.5000  4 Mg 3.07, 4 Mn 3.07

Values from the calculation:
Formation energy from the elements   771 meV per atom
Volume   88.7 Å³ per cell
Fermi-level density of states   3.60 states/eV/f.u.
Electronic total energy   -4.999 eV per atom

No. 4
A relaxed BaIn crystal, computed with GGA-PBEsol.

Unit cell a=4.1421 b=4.1421 c=10.6904 alpha=90.00 beta=90.00 gamma=120.00
Closest atoms and distances in Å follow each position.
Atoms (fractional coordinates):
Ba 0.0000 0.0000 0.0000  6 In 3.59
Ba 0.0000 0.0000 0.5000  6 In 3.59
In 0.6667 0.3333 0.7500  6 Ba 3.59
In 0.3333 0.6667 0.2500  6 Ba 3.59

Values from the calculation:
Formation energy from the elements   -148 meV per atom
Volume   158.8 Å³ per cell
Fermi-level density of states   1.66 states/eV/f.u.
Electronic total energy   -2.714 eV per atom